# 1
## SrCd4Os (PBE)

Data for SrCd4Os after structural relaxation.

Cell and atoms, written as POSCAR:
```
SrCd4Os
1.0
0.000 4.051 4.051
4.051 0.000 4.051
4.051 4.051 0.000
Sr Cd Os
1 4 1
Direct
0.000 0.000 0.000
0.128 0.624 0.624
0.624 0.128 0.624
0.624 0.624 0.128
0.624 0.624 0.624
0.250 0.250 0.250
```

Values from the calculation:
M_tot = 1.2 μB per cell
space group = F-43m
E_form = 2.256 eV/f.u.
crystal system = cubic

---

# 2
## Ga2S2F (PBE)

Data for Ga2S2F after structural relaxation.

Cell and atoms, written as POSCAR:
```
Ga2S2F
1.0
-3.513 3.513 5.429
3.513 -3.513 5.429
3.513 3.513 -5.429
Ga S F
4 4 2
Direct
0.227 0.000 0.227
0.750 0.023 0.273
0.750 0.477 0.727
0.773 0.000 0.773
0.470 0.217 0.253
0.963 0.217 0.747
0.967 0.213 0.247
0.967 0.720 0.753
0.441 0.941 0.500
0.691 0.691 0.000
```

Values from the calculation:
raw formation energy = -0.87 eV/atom
M_tot = 0.0 μB per cell
space group = I4_1md
crystal system = tetragonal

---

# 3
## LiSmTl (PBE)

Data for LiSmTl after structural relaxation.

Cell and atoms, written as POSCAR:
```
LiSmTl
1.0
0.000 3.379 3.379
3.379 0.000 3.379
3.379 3.379 0.000
Li Sm Tl
1 1 1
Direct
0.000 0.000 0.000
0.750 0.750 0.750
0.250 0.250 0.250
```

Values from the calculation:
M_tot = 0.0 μB per cell
space group = F-43m
E_form = -0.219 eV/f.u.
crystal system = cubic

---

# 4
## ScC2 (PBE)

Data for ScC2 after structural relaxation.

Cell and atoms, written as POSCAR:
```
ScC2
1.0
3.299 0.000 0.000
-1.650 2.857 0.000
0.000 0.000 4.144
Sc C
1 2
Direct
0.000 0.000 0.000
0.667 0.333 0.345
0.667 0.333 0.655
```

Values from the calculation:
M_tot = 0.0 μB per cell
space group = P-6m2
E_form = 0.545 eV/f.u.
crystal system = hexagonal

---

# 5
## NdHoAgSb (PBE)

Data for NdHoAgSb after structural relaxation.

Cell and atoms, written as POSCAR:
```
NdHoAgSb
1.0
0.000 3.744 3.744
3.744 0.000 3.744
3.744 3.744 0.000
Nd Ho Ag Sb
1 1 1 1
Direct
0.000 0.000 0.000
0.500 0.500 0.500
0.750 0.750 0.750
0.250 0.250 0.250
```

Values from the calculation:
raw formation energy = -0.55 eV/atom
M_tot = 0.0 μB per cell
space group = F-43m
crystal system = cubic

---

# 6
## LaTb7Pm3 (PBE)

Data for LaTb7Pm3 after structural relaxation.

Cell and atoms, written as POSCAR:
```
LaTb7Pm3
1.0
7.021 0.000 0.000
0.000 5.602 0.000
-3.384 0.000 9.470
La Tb Pm
1 7 3
Direct
0.000 0.000 0.000
0.000 0.000 0.500
0.144 0.500 0.788
0.324 0.500 0.140
0.421 0.000 0.331
0.579 0.000 0.669
0.676 0.500 0.860
0.856 0.500 0.212
0.281 0.500 0.498
0.500 0.000 0.000
0.719 0.500 0.502
```

Values from the calculation:
M_tot = 0.0 μB per cell
space group = P2/m
E_form = 1.487 eV/f.u.
crystal system = monoclinic

---

Number 1: calculated total energy -2.39 eV/atom. Number 2: calculated total energy -4.11 eV/atom. Number 3: calculated total energy -3.07 eV/atom. Number 4: calculated total energy -8.08 eV/atom. Number 5: calculated total energy -4.63 eV/atom. Number 6: calculated total energy -4.55 eV/atom.